[1]
DFT (GGA-PBE) results for crystalline SrLa3Co at its relaxed geometry.

Summary:
DOS(E_F)	10.3	states/eV/f.u.
formation energy from the elements	-0.256	kcal/mol of atoms
offset from the most stable computed form	0.035	eV/atom
total magnetic moment	0.00	μB per cell
uncorrected energy	-4.73	eV/atom

a = 5.6400 Å, b = 5.6400 Å, c = 5.6400 Å
α = 90.00°, β = 90.00°, γ = 90.00°
Space group Pm-3m (No. 221)
Asymmetric unit:
Sr1 0.0000 0.0000 0.0000 (multiplicity 1)
La1 0.0000 0.5000 0.5000 (multiplicity 3)
Co1 0.5000 0.5000 0.5000 (multiplicity 1)

[2]
DFT (GGA-PBE) results for crystalline SrLa2Co at its relaxed geometry.

Summary:
DOS(E_F)	5.4	states/eV/f.u.
formation energy from the elements	12.176	kcal/mol of atoms
offset from the most stable computed form	0.600	eV/atom
total magnetic moment	2.04	μB per cell
uncorrected energy	-4.13	eV/atom

a = 7.7248 Å, b = 7.7248 Å, c = 7.7248 Å
α = 90.00°, β = 90.00°, γ = 90.00°
Space group F-43m (No. 216)
Asymmetric unit:
Sr1 0.0000 0.0000 0.0000 (multiplicity 4)
La1 0.0000 0.0000 0.5000 (multiplicity 4)
La2 0.2500 0.2500 0.2500 (multiplicity 4)
Co1 0.2500 0.2500 0.7500 (multiplicity 4)

[3]
DFT (GGA-PBE) results for crystalline SrLaCo at its relaxed geometry.

Summary:
DOS(E_F)	3.6	states/eV/f.u.
formation energy from the elements	-0.468	kcal/mol of atoms
offset from the most stable computed form	0.000	eV/atom
total magnetic moment	2.13	μB per cell
uncorrected energy	-4.59	eV/atom

a = 4.0508 Å, b = 24.3924 Å, c = 4.0755 Å
α = 90.00°, β = 90.00°, γ = 90.00°
Space group Cmcm (No. 63)
Asymmetric unit:
Sr1 0.0000 0.1850 0.2500 (multiplicity 4)
La1 0.0000 0.4357 0.2500 (multiplicity 4)
Co1 0.0000 0.0225 0.2500 (multiplicity 4)

[4]
DFT (GGA-PBE) results for crystalline SrLa2Co at its relaxed geometry.

Summary:
DOS(E_F)	4.7	states/eV/f.u.
formation energy from the elements	11.485	kcal/mol of atoms
offset from the most stable computed form	0.570	eV/atom
total magnetic moment	0.79	μB per cell
uncorrected energy	-4.16	eV/atom

a = 4.6084 Å, b = 4.6084 Å, c = 11.0546 Å
α = 90.00°, β = 90.00°, γ = 90.00°
Space group I-4m2 (No. 119)
Asymmetric unit:
Sr1 0.0000 0.0000 0.0000 (multiplicity 2)
La1 0.0000 0.0000 0.5000 (multiplicity 2)
La2 0.0000 0.5000 0.2500 (multiplicity 2)
Co1 0.0000 0.5000 0.7500 (multiplicity 2)

[5]
DFT (GGA-PBE) results for crystalline Sr2LaCo at its relaxed geometry.

Summary:
DOS(E_F)	4.6	states/eV/f.u.
formation energy from the elements	4.227	kcal/mol of atoms
offset from the most stable computed form	0.087	eV/atom
total magnetic moment	0.00	μB per cell
uncorrected energy	-3.67	eV/atom

a = 5.0670 Å, b = 15.4355 Å, c = 4.1275 Å
α = 90.00°, β = 90.00°, γ = 90.00°
Space group Cmmm (No. 65)
Asymmetric unit:
Sr1 0.0000 0.1438 0.0000 (multiplicity 4)
La1 0.0000 0.5000 0.5000 (multiplicity 2)
Co1 0.0000 0.0000 0.5000 (multiplicity 2)

[6]
DFT (GGA-PBE) results for crystalline Sr2LaCo at its relaxed geometry.

Summary:
DOS(E_F)	3.1	states/eV/f.u.
formation energy from the elements	3.258	kcal/mol of atoms
offset from the most stable computed form	0.045	eV/atom
total magnetic moment	0.36	μB per cell
uncorrected energy	-3.71	eV/atom

a = 3.6882 Å, b = 3.6882 Å, c = 10.1925 Å
α = 90.00°, β = 90.00°, γ = 90.00°
Space group P4mm (No. 99)
Asymmetric unit:
Sr1 0.0000 0.0000 0.0000 (multiplicity 1)
Sr2 0.5000 0.5000 0.3449 (multiplicity 1)
La1 0.5000 0.5000 0.6781 (multiplicity 1)
Co1 0.0000 0.0000 0.5461 (multiplicity 1)

[7]
DFT (GGA-PBE) results for crystalline SrLaTaCo2 at its relaxed geometry.

Summary:
DOS(E_F)	11.4	states/eV/f.u.
formation energy from the elements	41.957	kcal/mol of atoms
total magnetic moment	3.05	μB per cell
uncorrected energy	-4.72	eV/atom

a = 4.8545 Å, b = 4.8545 Å, c = 5.2257 Å
α = 90.00°, β = 90.00°, γ = 90.00°
Space group P4/mmm (No. 123)
Asymmetric unit:
Sr1 0.0000 0.0000 0.0000 (multiplicity 1)
La1 0.5000 0.5000 0.5000 (multiplicity 1)
Ta1 0.0000 0.0000 0.5000 (multiplicity 1)
Co1 0.0000 0.5000 0.0000 (multiplicity 2)

[8]
DFT (GGA-PBE) results for crystalline SrLa2TlCo at its relaxed geometry.

Summary:
DOS(E_F)	6.5	states/eV/f.u.
formation energy from the elements	-3.083	kcal/mol of atoms
offset from the most stable computed form	0.000	eV/atom
total magnetic moment	0.00	μB per cell
uncorrected energy	-4.34	eV/atom

a = 5.2551 Å, b = 5.2551 Å, c = 5.8257 Å
α = 90.00°, β = 90.00°, γ = 90.00°
Space group P4/mmm (No. 123)
Asymmetric unit:
Sr1 0.0000 0.0000 0.0000 (multiplicity 1)
La1 0.0000 0.5000 0.5000 (multiplicity 2)
Tl1 0.5000 0.5000 0.0000 (multiplicity 1)
Co1 0.0000 0.0000 0.5000 (multiplicity 1)

Which of these has the lowest formation energy from the elements? SrLa2TlCo

Among the records above, which one has the lowest formation energy from the elements? SrLa2TlCo